#w
The following is a DFT calculation (PBE-GGA) of crystalline Cu2Pd2Au5 at its relaxed geometry. Values from VASP.

Quantum ESPRESSO input file:
```
&SYSTEM
  ibrav = 0, nat = 18, ntyp = 3
/
ATOMIC_SPECIES
Pd 106.42 Pd.upf
Cu 63.55 Cu.upf
Au 196.97 Au.upf
ATOMIC_POSITIONS angstrom
Pd -2.2118 -0.3184 2.1403
Cu -0.8667 2.3920 -0.5398
Au -2.9172 0.8182 -0.2818
Au -5.1960 4.8185 2.9962
Cu -2.9631 0.5953 -2.9736
Au -2.6610 3.0866 -2.2907
Pd -4.8728 2.7682 -0.1504
Au 0.0000 0.0000 0.0000
Au -4.9868 4.9833 -1.8010
Au -2.7965 3.9941 5.3532
Pd -5.1429 -0.6057 0.3818
Au -5.5258 1.4779 2.1584
Pd -3.2404 2.8685 2.8648
Cu -2.3588 5.5779 -1.6078
Au -2.5874 4.1589 0.5560
Au -3.1263 0.6535 4.5154
Cu -4.4553 3.7812 -4.0417
Au -5.3166 1.6426 -2.6388
CELL_PARAMETERS angstrom
-0.7584 6.5608 0.1923
-4.5635 -0.3876 -4.7737
-2.7912 -0.5365 7.2958
```

Calculated values
As for the space group: No. 64.

#x
The following is a DFT calculation (PBE-GGA) of crystalline Cu2Pd2Au5 at its relaxed geometry. Values from VASP.

Quantum ESPRESSO input file:
```
&SYSTEM
  ibrav = 0, nat = 9, ntyp = 3
/
ATOMIC_SPECIES
Au 196.97 Au.upf
Cu 63.55 Cu.upf
Pd 106.42 Pd.upf
ATOMIC_POSITIONS angstrom
Au 2.8256 3.8303 -1.0977
Cu 2.3803 1.5078 0.3183
Pd 0.3928 2.3869 -1.3913
Cu 0.0142 2.5016 1.3485
Au 0.0000 0.0000 0.0000
Pd 2.0016 1.6225 3.0580
Au 1.6538 -0.8173 4.6032
Au 0.7406 4.8267 -2.9364
Au -0.4311 0.1791 2.7645
CELL_PARAMETERS angstrom
4.8665 0.4795 -0.7616
-1.3232 5.6940 -4.6181
-1.1489 -2.1641 7.0465
```

Calculated values
As for the space group: No. 2.

Pick #x: it beats the second-best structure by 172 meV/atom.

#w
The following is a DFT calculation (PBE-GGA) of crystalline CuPd6Au2 at its relaxed geometry. Values from VASP.

Quantum ESPRESSO input file:
```
&SYSTEM
  ibrav = 0, nat = 9, ntyp = 3
/
ATOMIC_SPECIES
Pd 106.42 Pd.upf
Cu 63.55 Cu.upf
Au 196.97 Au.upf
ATOMIC_POSITIONS angstrom
Pd 0.0000 3.4282 6.7901
Cu 0.0000 0.3214 4.2180
Pd 1.9771 1.8793 5.5008
Au 1.9771 2.0534 8.3299
Pd 1.9771 1.5368 2.7965
Pd 0.0000 3.0857 4.0859
Au 0.0000 2.9116 1.2567
Pd 0.0000 0.5825 6.9362
Pd 1.9771 4.3825 2.6504
CELL_PARAMETERS angstrom
3.9542 0.0000 0.0000
-1.9771 4.3222 1.1506
0.0000 0.6427 8.4360
```

Calculated values
As for the space group: No. 12.

#x
The following is a DFT calculation (PBE-GGA) of crystalline CuPd6Au2 at its relaxed geometry. Values from VASP.

Quantum ESPRESSO input file:
```
&SYSTEM
  ibrav = 0, nat = 18, ntyp = 3
/
ATOMIC_SPECIES
Pd 106.42 Pd.upf
Au 196.97 Au.upf
Cu 63.55 Cu.upf
ATOMIC_POSITIONS angstrom
Pd -6.0855 2.4893 4.7343
Pd -2.9066 3.5256 3.3335
Pd -4.7189 6.4967 4.2310
Pd -1.2077 4.4963 1.3423
Pd -6.9572 3.6700 8.0151
Pd -5.2583 4.6407 6.0240
Au -4.8234 1.6901 2.4004
Cu -3.1748 5.8990 2.2508
Pd -5.4540 4.3682 2.6609
Au -1.0776 1.6473 2.4359
Pd -3.4460 1.6696 5.1265
Pd -2.7109 3.7980 6.6965
Pd -0.7902 2.5783 5.0222
Pd -7.3747 5.5880 4.3353
Au -3.3415 6.4761 6.9571
Pd -2.0794 5.6769 4.6231
Cu -4.9901 2.2672 7.1067
Au -7.0874 6.5190 6.9215
CELL_PARAMETERS angstrom
-6.7822 -1.2649 1.7266
0.3391 2.7544 6.4261
-1.7218 6.6768 1.2047
```

Calculated values
As for the space group: No. 15.

Pick #w: it beats the second-best structure by 153 meV/atom.

#w
The following is a DFT calculation (PBE-GGA) of crystalline CuPd6Au3 at its relaxed geometry. Values from VASP.

Quantum ESPRESSO input file:
```
&SYSTEM
  ibrav = 0, nat = 20, ntyp = 3
/
ATOMIC_SPECIES
Pd 106.42 Pd.upf
Au 196.97 Au.upf
Cu 63.55 Cu.upf
ATOMIC_POSITIONS angstrom
Pd 2.0275 3.3230 18.5103
Pd 1.0145 0.7813 9.2581
Pd 0.8635 4.1012 20.9799
Pd 1.5051 4.0620 13.7593
Pd 0.2453 3.2030 2.2506
Au 0.3442 3.3176 16.2496
Pd 1.6561 0.7422 2.0375
Pd 2.2744 1.6403 20.7667
Au 1.4170 2.4217 -0.1564
Pd 0.0819 1.6795 13.8590
Cu 1.2598 2.4217 11.5087
Pd 0.7676 3.9420 7.0016
Au -0.1572 0.0000 11.6651
Au 2.1755 1.5258 6.7677
Cu 0.0000 0.0000 0.0000
Au 0.6012 0.8959 18.5892
Pd 2.4378 3.1638 9.1584
Pd 1.7520 0.9013 16.0158
Pd 0.4922 1.5203 4.5071
Au 1.9184 3.9474 4.4281
CELL_PARAMETERS angstrom
2.8341 0.0000 -0.3128
0.0000 4.8433 0.0000
-0.3144 0.0000 23.3302
```

Calculated values
As for the space group: No. 14.

#x
The following is a DFT calculation (PBE-GGA) of crystalline CuPd6Au3 at its relaxed geometry. Values from VASP.

Quantum ESPRESSO input file:
```
&SYSTEM
  ibrav = 0, nat = 10, ntyp = 3
/
ATOMIC_SPECIES
Au 196.97 Au.upf
Pd 106.42 Pd.upf
Cu 63.55 Cu.upf
ATOMIC_POSITIONS angstrom
Au 2.6027 1.5027 3.5659
Pd 1.0413 1.8036 1.2720
Pd -1.5614 2.7044 1.2720
Pd 1.5614 2.7044 5.8597
Pd 3.1228 0.0000 1.2720
Au 0.0000 0.0000 3.5659
Pd 2.0826 0.0000 5.8597
Cu 0.0000 0.0000 0.0000
Au 0.0000 3.0053 3.5659
Pd -1.0413 1.8036 5.8597
CELL_PARAMETERS angstrom
5.2054 0.0000 0.0000
-2.6027 4.5080 0.0000
0.0000 0.0000 7.1317
```

Calculated values
As for the space group: No. 162.

Pick #w: it beats the second-best structure by 181 meV/atom.

#w
The following is a DFT calculation (PBE-GGA) of crystalline Cu2PdAu2 at its relaxed geometry. Values from VASP.

Quantum ESPRESSO input file:
```
&SYSTEM
  ibrav = 0, nat = 10, ntyp = 3
/
ATOMIC_SPECIES
Au 196.97 Au.upf
Pd 106.42 Pd.upf
Cu 63.55 Cu.upf
ATOMIC_POSITIONS angstrom
Au 2.1037 4.4414 6.7671
Au 2.1037 1.7934 4.0050
Pd 2.1037 3.0952 1.4034
Cu 2.1037 0.4139 1.4556
Cu 0.0000 3.1146 5.3216
Au 0.0000 1.7407 0.0101
Au 0.0000 4.4941 2.7722
Cu 2.1037 4.4855 4.1974
Cu 0.0000 1.7847 2.5798
Pd 0.0000 0.3945 5.3739
CELL_PARAMETERS angstrom
4.2074 0.0000 0.0000
0.0000 5.4014 0.0000
-2.1037 0.0000 6.7772
```

Calculated values
As for the space group: No. 36.

#x
The following is a DFT calculation (PBE-GGA) of crystalline Cu2PdAu2 at its relaxed geometry. Values from VASP.

Quantum ESPRESSO input file:
```
&SYSTEM
  ibrav = 0, nat = 5, ntyp = 3
/
ATOMIC_SPECIES
Pd 106.42 Pd.upf
Cu 63.55 Cu.upf
Au 196.97 Au.upf
ATOMIC_POSITIONS angstrom
Pd 0.0000 0.0000 0.0000
Cu -1.3288 -1.0748 4.8935
Au -1.5037 -0.2090 2.3902
Cu -2.1798 1.1714 4.5545
Au -2.0049 0.3056 7.0578
CELL_PARAMETERS angstrom
-2.9198 1.6294 0.7675
-1.2177 -2.8630 1.4456
0.6288 1.3302 7.2349
```

Calculated values
As for the space group: No. 139.

Pick #w: it beats the second-best structure by 181 meV/atom.

#w
The following is a DFT calculation (PBE-GGA) of crystalline Cu2PdAu2 at its relaxed geometry. Values from VASP.

Quantum ESPRESSO input file:
```
&SYSTEM
  ibrav = 0, nat = 10, ntyp = 3
/
ATOMIC_SPECIES
Au 196.97 Au.upf
Pd 106.42 Pd.upf
Cu 63.55 Cu.upf
ATOMIC_POSITIONS angstrom
Au 2.6906 6.3943 0.0000
Au 1.0131 2.6906 0.0000
Pd 0.0000 0.0000 0.0000
Cu 2.5009 1.2028 1.4501
Au 4.7169 1.0131 0.0000
Cu 6.2046 2.5009 1.4501
Cu 1.2028 4.9065 1.4501
Au 6.3943 4.7169 0.0000
Cu 4.9065 6.2046 1.4501
Pd 3.7037 3.7037 0.0000
CELL_PARAMETERS angstrom
7.4075 0.0000 0.0000
0.0000 7.4075 0.0000
0.0000 0.0000 2.9003
```

Calculated values
As for the space group: No. 127.

#x
The following is a DFT calculation (PBE-GGA) of crystalline Cu2PdAu2 at its relaxed geometry. Values from VASP.

Quantum ESPRESSO input file:
```
&SYSTEM
  ibrav = 0, nat = 10, ntyp = 3
/
ATOMIC_SPECIES
Au 196.97 Au.upf
Cu 63.55 Cu.upf
Pd 106.42 Pd.upf
ATOMIC_POSITIONS angstrom
Au 2.3383 1.2280 1.5308
Cu 0.8913 2.6750 0.0000
Au 1.2280 4.7944 1.5308
Pd 3.5664 3.5664 0.0000
Pd 0.0000 0.0000 0.0000
Cu 2.6750 6.2414 0.0000
Au 5.9047 2.3383 1.5308
Cu 6.2414 4.4577 0.0000
Cu 4.4577 0.8913 0.0000
Au 4.7944 5.9047 1.5308
CELL_PARAMETERS angstrom
7.1327 0.0000 0.0000
0.0000 7.1327 0.0000
0.0000 0.0000 3.0615
```

Calculated values
As for the space group: No. 127.

Pick #x: it beats the second-best structure by 40 meV/atom.

#w
The following is a DFT calculation (PBE-GGA) of crystalline Cu3Pd6Au at its relaxed geometry. Values from VASP.

Quantum ESPRESSO input file:
```
&SYSTEM
  ibrav = 0, nat = 20, ntyp = 3
/
ATOMIC_SPECIES
Pd 106.42 Pd.upf
Cu 63.55 Cu.upf
Au 196.97 Au.upf
ATOMIC_POSITIONS angstrom
Pd 2.4665 -4.6317 -2.0833
Pd 1.3043 -6.7390 -7.1747
Pd 7.3250 -7.1409 -4.2225
Pd 4.5857 -7.3814 -4.5205
Pd -0.3544 -2.7690 -2.0347
Cu 1.4375 -3.1234 -3.8905
Pd -1.1681 -6.3765 -6.0921
Pd 4.1252 -8.6017 -7.2234
Au 1.8854 -5.6854 -4.6290
Cu 2.3333 -8.2473 -5.3676
Au 0.0000 0.0000 0.0000
Cu 6.1487 -6.9508 -1.9468
Cu 4.4239 -3.4062 -0.9382
Cu -2.3779 -4.4199 -7.3113
Pd 2.1639 -2.0495 -1.1407
Pd 1.6070 -9.3212 -8.1174
Pd -0.8149 -3.9893 -4.7375
Pd 4.9389 -4.9942 -3.1660
Pd -3.5541 -4.2298 -5.0355
Cu -2.5385 -2.2792 -3.6908
CELL_PARAMETERS angstrom
-1.3877 -2.1327 1.1995
-3.6893 -2.4257 -8.5811
8.8478 -6.8123 -1.8765
```

Calculated values
As for the space group: No. 58.

#x
The following is a DFT calculation (PBE-GGA) of crystalline Cu3Pd6Au at its relaxed geometry. Values from VASP.

Quantum ESPRESSO input file:
```
&SYSTEM
  ibrav = 0, nat = 20, ntyp = 3
/
ATOMIC_SPECIES
Cu 63.55 Cu.upf
Pd 106.42 Pd.upf
Au 196.97 Au.upf
ATOMIC_POSITIONS angstrom
Cu -2.4513 2.3602 0.4696
Pd -4.1218 -3.1837 3.7810
Pd -5.2381 -0.7104 2.6706
Cu -0.7400 -1.6954 1.3942
Cu -6.8775 0.5168 0.5762
Pd -4.7311 1.5041 -1.1113
Pd -5.0851 -1.2512 -0.3269
Au -1.9403 -4.8914 4.1695
Pd -2.2243 -3.9591 8.4963
Cu -5.1662 -3.5388 1.5009
Pd -6.0971 4.5803 -4.6334
Pd -3.6226 -0.8004 5.0610
Cu -4.6355 1.4171 1.3524
Pd -4.3076 4.0809 0.3722
Pd -2.6480 0.3683 2.6082
Pd -6.7963 3.0444 0.4321
Au -5.7436 3.8827 -2.0204
Pd -2.4950 -0.1725 -0.3893
Cu -3.2727 -1.8523 1.3998
Pd -1.6331 -2.1472 3.7211
CELL_PARAMETERS angstrom
-1.2996 3.3227 3.4940
-5.7513 3.6911 -5.6493
-1.1956 -6.5843 5.8167
```

Calculated values
As for the space group: No. 36.

Pick #x: it beats the second-best structure by 45 meV/atom.